A:
A plane-wave DFT calculation with PBE was carried out for YEr2Bi after structural relaxation.

```
YEr2Bi
1.0
3.5392 0.0000 0.0000
-1.7696 3.0650 0.0000
0.0000 0.0000 35.8675
Y Er Bi
3 6 3
Cartesian
0.0000 0.0000 0.0000
0.0000 2.0433 23.9117
1.7696 1.0217 11.9558
0.0000 0.0000 14.7932
0.0000 0.0000 21.0743
0.0000 2.0433 2.8374
0.0000 2.0433 9.1185
1.7696 1.0217 26.7490
1.7696 1.0217 33.0301
0.0000 0.0000 17.9338
0.0000 2.0433 5.9779
1.7696 1.0217 29.8896
```

- symmetry = R-3m (166)
- total magnetization (μB/cell) = 0.00

=====

B:
A plane-wave DFT calculation with PBE was carried out for YEr2Bi after structural relaxation.

```
YEr2Bi
1.0
4.1173 0.0000 0.0000
0.0000 4.1173 0.0000
0.0000 0.0000 7.0041
Y Er Bi
1 2 1
Cartesian
0.0000 0.0000 0.0000
2.0587 2.0587 1.8414
2.0587 2.0587 5.1627
0.0000 0.0000 3.5020
```

- symmetry = P4/mmm (123)
- total magnetization (μB/cell) = 0.00

=====

According to the calculations, the structures order from most to least stable as B, A.

=====

A:
A plane-wave DFT calculation with PBE was carried out for YEr2Bi after structural relaxation.

```
YEr2Bi
1.0
4.1429 0.0000 0.0000
0.0000 12.3765 0.0000
0.0000 0.0000 9.5915
Y Er Bi
4 8 4
Cartesian
0.0000 0.6804 2.3979
0.0000 11.6961 7.1936
2.0715 5.5078 7.1936
2.0715 6.8687 2.3979
0.0000 4.5415 0.4417
0.0000 4.5415 4.3541
0.0000 7.8350 5.2374
0.0000 7.8350 9.1499
2.0715 1.6468 5.2374
2.0715 1.6468 9.1499
2.0715 10.7298 0.4417
2.0715 10.7298 4.3541
0.0000 2.9952 7.1936
0.0000 9.3813 2.3979
2.0715 3.1930 2.3979
2.0715 9.1835 7.1936
```

- symmetry = Cmcm (63)
- total magnetization (μB/cell) = 0.01

=====

B:
A plane-wave DFT calculation with PBE was carried out for YEr2Bi after structural relaxation.

```
YEr2Bi
1.0
3.6479 0.0000 0.0000
-1.8239 3.1592 0.0000
0.0000 0.0000 32.1594
Y Er Bi
3 6 3
Cartesian
0.0000 0.0000 0.0000
0.0000 2.1061 21.4396
1.8239 1.0531 10.7198
0.0000 0.0000 7.9199
0.0000 0.0000 13.4963
0.0000 2.1061 2.7765
0.0000 2.1061 29.3595
1.8239 1.0531 18.6397
1.8239 1.0531 24.2161
0.0000 0.0000 26.7934
0.0000 2.1061 16.0735
1.8239 1.0531 5.3537
```

- symmetry = R3m (160)
- total magnetization (μB/cell) = 0.46

=====

According to the calculations, the structures order from most to least stable as A, B.

=====

A:
A plane-wave DFT calculation with PBE was carried out for ErZrBi2 after structural relaxation.

```
ErZrBi2
1.0
3.6859 0.0000 0.0000
0.0000 3.6859 0.0000
0.0000 0.0000 7.8246
Er Zr Bi
1 1 2
Cartesian
0.0000 0.0000 0.0000
0.0000 0.0000 3.9123
1.8429 1.8429 2.0895
1.8429 1.8429 5.7351
```

- symmetry = P4/mmm (123)
- total magnetization (μB/cell) = 0.40

=====

B:
A plane-wave DFT calculation with PBE was carried out for ErZrBi2 after structural relaxation.

```
ErZrBi2
1.0
4.3068 0.0000 0.0000
-2.1534 3.7298 0.0000
0.0000 0.0000 21.5680
Er Zr Bi
3 3 6
Cartesian
0.0000 0.0000 0.0000
0.0000 2.4865 14.3787
2.1534 1.2433 7.1893
0.0000 0.0000 10.7840
0.0000 2.4865 3.5947
2.1534 1.2433 17.9733
0.0000 0.0000 5.3245
0.0000 0.0000 16.2436
0.0000 2.4865 9.0542
0.0000 2.4865 19.7031
2.1534 1.2433 1.8649
2.1534 1.2433 12.5138
```

- symmetry = R-3m (166)
- total magnetization (μB/cell) = 0.00

=====

C:
A plane-wave DFT calculation with PBE was carried out for ErZrBi2 after structural relaxation.

```
ErZrBi2
1.0
4.2416 0.0000 0.0000
-2.1208 3.6733 0.0000
0.0000 0.0000 22.5013
Er Zr Bi
3 3 6
Cartesian
0.0000 0.0000 0.0000
0.0000 2.4489 15.0009
2.1208 1.2244 7.5004
0.0000 0.0000 18.6656
0.0000 2.4489 11.1652
2.1208 1.2244 3.6647
0.0000 0.0000 9.3692
0.0000 0.0000 13.0121
0.0000 2.4489 1.8688
0.0000 2.4489 5.5117
2.1208 1.2244 16.8696
2.1208 1.2244 20.5126
```

- symmetry = R3m (160)
- total magnetization (μB/cell) = 1.48

=====

According to the calculations, the structures order from most to least stable as B, C, A.

=====

A:
A plane-wave DFT calculation with PBE was carried out for Eu2GaBi after structural relaxation.

```
Eu2GaBi
1.0
7.8366 0.0000 0.0000
0.0000 7.8366 0.0000
0.0000 0.0000 7.8366
Eu Ga Bi
8 4 4
Cartesian
1.9591 1.9591 1.9591
1.9591 1.9591 5.8774
1.9591 5.8774 1.9591
1.9591 5.8774 5.8774
5.8774 1.9591 1.9591
5.8774 1.9591 5.8774
5.8774 5.8774 1.9591
5.8774 5.8774 5.8774
0.0000 0.0000 0.0000
0.0000 3.9183 3.9183
3.9183 0.0000 3.9183
3.9183 3.9183 0.0000
0.0000 0.0000 3.9183
0.0000 3.9183 0.0000
3.9183 0.0000 0.0000
3.9183 3.9183 3.9183
```

- symmetry = Fm-3m (225)
- total magnetization (μB/cell) = 57.10

=====

B:
A plane-wave DFT calculation with PBE was carried out for Eu2GaBi after structural relaxation.

```
Eu2GaBi
1.0
5.1833 0.0000 0.0000
0.0000 5.1833 0.0000
0.0000 0.0000 4.4381
Eu Ga Bi
2 1 1
Cartesian
0.0000 2.5916 0.0000
2.5916 0.0000 0.0000
0.0000 0.0000 2.2190
2.5916 2.5916 2.2190
```

- symmetry = P4/mmm (123)
- total magnetization (μB/cell) = 14.35

=====

According to the calculations, the structures order from most to least stable as B, A.

=====

A:
A plane-wave DFT calculation with PBE was carried out for EuGaBi2 after structural relaxation.

```
EuGaBi2
1.0
4.2796 0.0000 0.0000
0.0000 4.2796 0.0000
0.0000 0.0000 6.4819
Eu Ga Bi
1 1 2
Cartesian
0.0000 0.0000 0.0000
0.0000 0.0000 3.2410
2.1398 2.1398 1.6585
2.1398 2.1398 4.8234
```

- symmetry = P4/mmm (123)
- total magnetization (μB/cell) = 7.13

=====

B:
A plane-wave DFT calculation with PBE was carried out for EuGaBi2 after structural relaxation.

```
EuGaBi2
1.0
4.8654 0.0000 0.0000
0.0000 4.8654 0.0000
0.0000 0.0000 4.8579
Eu Ga Bi
1 1 2
Cartesian
0.0000 0.0000 0.0000
2.4327 2.4327 0.0000
0.0000 2.4327 2.4289
2.4327 0.0000 2.4289
```

- symmetry = P4/mmm (123)
- total magnetization (μB/cell) = 6.98

=====

According to the calculations, the structures order from most to least stable as B, A.

=====

A:
A plane-wave DFT calculation with PBE was carried out for EuGd2Bi after structural relaxation.

```
EuGd2Bi
1.0
4.1208 0.0000 0.0000
0.0000 4.1208 0.0000
0.0000 0.0000 7.7294
Eu Gd Bi
1 2 1
Cartesian
0.0000 0.0000 0.0000
2.0604 2.0604 2.2147
2.0604 2.0604 5.5147
0.0000 0.0000 3.8647
```

- symmetry = P4/mmm (123)
- total magnetization (μB/cell) = 23.55

=====

B:
A plane-wave DFT calculation with PBE was carried out for EuGd2Bi after structural relaxation.

```
EuGd2Bi
1.0
7.8974 0.0000 0.0000
0.0000 7.8974 0.0000
0.0000 0.0000 7.8974
Eu Gd Bi
4 8 4
Cartesian
0.0000 0.0000 0.0000
0.0000 3.9487 3.9487
3.9487 0.0000 3.9487
3.9487 3.9487 0.0000
1.9744 1.9744 1.9744
1.9744 1.9744 5.9231
1.9744 5.9231 1.9744
1.9744 5.9231 5.9231
5.9231 1.9744 1.9744
5.9231 1.9744 5.9231
5.9231 5.9231 1.9744
5.9231 5.9231 5.9231
0.0000 0.0000 3.9487
0.0000 3.9487 0.0000
3.9487 0.0000 0.0000
3.9487 3.9487 3.9487
```

- symmetry = Fm-3m (225)
- total magnetization (μB/cell) = 31.48

=====

According to the calculations, the structures order from most to least stable as A, B.